# 1
# TeRh5 | Alexandria | GGA-PBE | relaxed
data_TeRh5
_chemical_formula_sum 'Te1 Rh5'
_cell_length_a 2.909
_cell_length_b 2.909
_cell_length_c 11.086
_cell_angle_alpha 90.00
_cell_angle_beta 90.00
_cell_angle_gamma 90.00
_symmetry_space_group_name_H-M 'P 4/m m m'
_symmetry_Int_Tables_number 123
_symmetry_space_group_name_Hall '-P 4 2'
loop_
_atom_site_label
_atom_site_type_symbol
_atom_site_fract_x
_atom_site_fract_y
_atom_site_fract_z
_atom_site_occupancy
Te1 Te 0.000 0.000 0.000 1
Rh1 Rh 0.000 0.000 0.340 1
Rh2 Rh 0.500 0.500 0.173 1
Rh3 Rh 0.500 0.500 0.500 1
# total magnetic moment: 0.0 μB per formula unit
# ΔE to the lowest computed polymorph: 0.214 eV/atom
# crystal system: tetragonal
# formation energy without anion corrections: 222 meV/atom
# total DFT energy (no corrections): -6.428 eV/atom

***

# 2
# TeRh5 | Alexandria | GGA-PBE | relaxed
data_TeRh5
_chemical_formula_sum 'Te2 Rh10'
_cell_length_a 4.461
_cell_length_b 2.915
_cell_length_c 14.237
_cell_angle_alpha 90.00
_cell_angle_beta 90.00
_cell_angle_gamma 90.00
_symmetry_space_group_name_H-M 'A m m 2'
_symmetry_Int_Tables_number 38
_symmetry_space_group_name_Hall 'A 2 -2'
loop_
_atom_site_label
_atom_site_type_symbol
_atom_site_fract_x
_atom_site_fract_y
_atom_site_fract_z
_atom_site_occupancy
Te1 Te 0.000 0.000 0.000 1
Rh1 Rh 0.000 0.000 0.329 1
Rh2 Rh 0.000 0.000 0.668 1
Rh3 Rh 0.500 0.000 0.120 1
Rh4 Rh 0.500 0.000 0.445 1
Rh5 Rh 0.500 0.000 0.782 1
# total magnetic moment: 0.0 μB per formula unit
# ΔE to the lowest computed polymorph: 0.101 eV/atom
# crystal system: orthorhombic
# formation energy without anion corrections: 108 meV/atom
# total DFT energy (no corrections): -6.541 eV/atom

***

# 3
# TeRh | Alexandria | GGA-PBE | relaxed
data_TeRh
_chemical_formula_sum 'Te1 Rh1'
_cell_length_a 3.8452
_cell_length_b 3.8452
_cell_length_c 3.2794
_cell_angle_alpha 90.00
_cell_angle_beta 90.00
_cell_angle_gamma 120.00
_symmetry_space_group_name_H-M 'P -6 m 2'
_symmetry_Int_Tables_number 187
_symmetry_space_group_name_Hall 'P -6 2'
loop_
_atom_site_label
_atom_site_type_symbol
_atom_site_fract_x
_atom_site_fract_y
_atom_site_fract_z
_atom_site_occupancy
Te1 Te 0.0000 0.0000 0.0000 1
Rh1 Rh 0.3333 0.6667 0.5000 1
# total magnetic moment: 0.0 μB per formula unit
# crystal system: hexagonal
# formation energy without anion corrections: -29 meV/atom
# total DFT energy (no corrections): -5.275 eV/atom

***

# 4
# TeRh | Alexandria | GGA-PBE | relaxed
data_TeRh
_chemical_formula_sum 'Te6 Rh6'
_cell_length_a 3.950
_cell_length_b 13.502
_cell_length_c 5.691
_cell_angle_alpha 90.00
_cell_angle_beta 90.00
_cell_angle_gamma 90.00
_symmetry_space_group_name_H-M 'P m m n'
_symmetry_Int_Tables_number 59
loop_
_symmetry_equiv_pos_as_xyz
'x,y,z'
'-x,-y,-z'
'-x+1/2,-y+1/2,z'
'x+1/2,y+1/2,-z'
'x+1/2,-y,-z'
'-x+1/2,y,z'
'-x,y+1/2,-z'
'x,-y+1/2,z'
loop_
_atom_site_label
_atom_site_type_symbol
_atom_site_fract_x
_atom_site_fract_y
_atom_site_fract_z
_atom_site_occupancy
Te1 Te 0.250 0.090 0.230 1
Te2 Te 0.250 0.750 0.300 1
Rh1 Rh 0.250 0.250 0.982 1
Rh2 Rh 0.250 0.577 0.485 1
# total magnetic moment: 0.0 μB per formula unit
# crystal system: orthorhombic
# formation energy without anion corrections: -134 meV/atom
# total DFT energy (no corrections): -5.381 eV/atom